No. 1
## Pm4Ho3Sc2 (PBE)

Data for a geometry-optimized Pm4Ho3Sc2 structure.

abc: 3.545 3.545 26.000
angles: 90.00 90.00 120.00
Each line ends with the local moment (μB).
Sites, in units of the cell vectors:
Pm  0.000  0.000  0.548  0.00
Pm  0.667  0.333  0.430  0.00
Pm  0.667  0.333  0.208  0.03
Pm  0.000  0.000  0.773  0.02
Ho  0.000  0.000  0.980  0.09
Ho  0.000  0.000  0.317  -0.01
Ho  0.667  0.333  0.660  -0.03
Sc  0.667  0.333  0.081  0.25
Sc  0.667  0.333  0.879  -0.04

## Properties
- Crystal system: trigonal
- Final energy: -0.3644 Ry per atom
- Size of the total moment: 0.06 μB per atom
- Formation energy: 0.0869 eV per atom



No. 2
## Pm8Ho2Sc (PBE)

Data for a geometry-optimized Pm8Ho2Sc structure.

abc: 5.727 10.096 10.096
angles: 40.52 92.75 92.75
Sites, in units of the cell vectors:
Pm  0.262  0.135  0.607
Pm  0.262  0.607  0.135
Pm  0.738  0.865  0.393
Pm  0.233  0.545  0.545
Pm  0.738  0.393  0.865
Pm  0.228  0.184  0.184
Pm  0.772  0.816  0.816
Pm  0.767  0.455  0.455
Ho  0.739  0.283  0.283
Ho  0.261  0.717  0.717
Sc  0.000  0.000  0.000

## Properties
- Distance to the lowest polymorph of the same formula: 0.069 eV/atom
- Crystal system: monoclinic
- Final energy: -0.3440 Ry per atom
- Size of the total moment: 0.00 μB per atom
- Formation energy: 0.1821 eV per atom



No. 3
## Pm3Ho4Sc2 (PBE)

Data for a geometry-optimized Pm3Ho4Sc2 structure.

abc: 6.189 9.071 10.988
angles: 70.75 73.63 89.90
Sites, in units of the cell vectors:
Pm  0.063  0.970  0.717
Pm  0.386  0.306  0.059
Pm  0.937  0.030  0.283
Pm  0.614  0.694  0.941
Pm  0.278  0.362  0.613
Pm  0.722  0.638  0.387
Ho  0.504  0.084  0.833
Ho  0.943  0.198  0.946
Ho  0.496  0.916  0.167
Ho  0.057  0.802  0.054
Ho  0.170  0.755  0.504
Ho  0.278  0.522  0.279
Ho  0.830  0.245  0.496
Ho  0.722  0.478  0.721
Sc  0.601  0.860  0.612
Sc  0.833  0.418  0.165
Sc  0.399  0.140  0.388
Sc  0.167  0.582  0.835

## Properties
- Distance to the lowest polymorph of the same formula: 0.000 eV/atom
- Crystal system: triclinic
- Final energy: -0.3671 Ry per atom
- Size of the total moment: 0.00 μB per atom
- Formation energy: 0.0300 eV per atom



> Which of these has the highest final energy?

Pm8Ho2Sc